# 1
Compound: NaPm2TaO6
Source: the Alexandria database
Functional: PBE
Structure: optimized geometry

Lattice parameters (Å, degrees): 5.7968 5.7968 14.9688 90.00 90.00 120.00
Space group R3 (No. 146, hexagonal axes)
Unique sites:
1 Na 0.0000 0.0000 0.0000 x3
2 Pm 0.0000 0.0000 0.2738 x3
3 Pm 0.0000 0.0000 0.7754 x3
4 Ta 0.0000 0.0000 0.4870 x3
5 O 0.0161 0.3910 0.2175 x9
6 O 0.0682 0.6716 0.0627 x9

energy relative to the elements, uncorrected = -3018 meV per atom
total moment = 0.00 μB per cell

# 2
Compound: Dy3AlHg
Source: the Alexandria database
Functional: PBE
Structure: optimized geometry

Lattice parameters (Å, degrees): 8.1285 8.1285 4.9719 90.00 90.00 120.00
Space group P6_3/mmc (No. 194)
Unique sites:
1 Dy 0.1931 0.3861 0.2500 x6
2 Al 0.0000 0.0000 0.0000 x2
3 Hg 0.3333 0.6667 0.7500 x2

excess energy over the best structure of this formula in the dataset = 0.942 eV per formula unit
ΔH_f (0 K) = -122 meV/atom
total moment = 0.00 μB per cell

# 3
Compound: Tb2Nd4Dy3
Source: the Alexandria database
Functional: PBE
Structure: optimized geometry

Lattice parameters (Å, degrees): 11.9165 3.6166 14.8706 90.00 111.50 90.00
Space group C2/m (No. 12)
Unique sites:
1 Tb 0.0567 0.0000 0.2231 x4
2 Nd 0.1653 0.0000 0.6653 x4
3 Nd 0.2219 0.5000 0.8884 x4
4 Dy 0.0000 0.5000 0.0000 x2
5 Dy 0.1126 0.5000 0.4447 x4

excess energy over the best structure of this formula in the dataset = 0.000 eV per formula unit
ΔH_f (0 K) = 14 meV/atom
total moment = 0.00 μB per cell